A plane-wave DFT calculation with GGA-PBE was carried out for crystalline Tb3Y8Tm3 at its relaxed geometry.

Cell lengths 9.6106, 9.6106, 9.6106 Å; angles 145.97, 111.87, 78.39 degrees
Closest atoms and distances in Å follow each position.
Positions (direct):
Tb  0.0000  0.0000  0.0000  4 Tm 3.56, 4 Tb 3.88
Tb  0.1799  0.6799  0.5000  2 Tm 3.46, 8 Y 3.60-3.73
Tb  0.8201  0.3201  0.5000  2 Tm 3.46, 8 Y 3.60-3.73
Y  0.1198  0.2780  0.8418  6 Y 3.27-3.54, 2 Tb 3.60, 1 Tm 3.63
Y  0.2385  0.8968  0.3416  5 Y 3.07-3.41
Y  0.4362  0.2780  0.1582  6 Y 3.27-3.54, 2 Tb 3.60, 1 Tm 3.63
Y  0.4448  0.1032  0.3416  5 Y 3.07-3.41
Y  0.5552  0.8968  0.6584  5 Y 3.07-3.41
Y  0.5638  0.7220  0.8418  6 Y 3.27-3.54, 2 Tb 3.60, 1 Tm 3.63
Y  0.7615  0.1032  0.6584  5 Y 3.07-3.41
Y  0.8802  0.7220  0.1582  6 Y 3.27-3.54, 2 Tb 3.60, 1 Tm 3.63
Tm  0.2025  0.5000  0.7025  1 Tm 3.20, 4 Tb 3.46-3.56, 4 Y 3.54
Tm  0.5000  0.5000  0.0000  2 Tm 3.20
Tm  0.7975  0.5000  0.2975  1 Tm 3.20, 4 Tb 3.46-3.56, 4 Y 3.54

Results
- N(E_F) (states/eV/cell) = 23.2
- spin magnetization (μB per cell) = 0.0
- symmetry = Immm
- energy relative to the elements (meV/atom) = 122
- final energy (eV/atom) = -5.52
- polymorph energy (0 for the lowest one) (eV/atom) = 0.000


A plane-wave DFT calculation with GGA-PBE was carried out for crystalline NaIn2H at its relaxed geometry.

Cell lengths 5.0086, 5.0086, 5.0086 Å; angles 60.00, 60.00, 60.00 degrees
Closest atoms and distances in Å follow each position.
Positions (direct):
Na  0.0000  0.0000  0.0000  8 In 3.07
In  0.2500  0.2500  0.2500  4 H 3.07, 4 Na 3.07
In  0.7500  0.7500  0.7500  4 H 3.07, 4 Na 3.07
H  0.5000  0.5000  0.5000  8 In 3.07

Results
- N(E_F) (states/eV/cell) = 1.6
- spin magnetization (μB per cell) = 0.0
- symmetry = Fm-3m
- final energy (eV/atom) = -2.10
- polymorph energy (0 for the lowest one) (eV/atom) = 0.269